# RbHf3Mn | Alexandria | PBE | relaxed
data_RbHf3Mn
_chemical_formula_sum 'Rb1 Hf3 Mn1'
_symmetry_space_group_name_H-M 'P m -3 m'
_symmetry_Int_Tables_number 221
_symmetry_space_group_name_Hall '-P 4 2 3'
_cell_length_a 5.019
_cell_length_b 5.019
_cell_length_c 5.019
_cell_angle_alpha 90.00
_cell_angle_beta 90.00
_cell_angle_gamma 90.00
loop_
_atom_site_label
_atom_site_fract_x
_atom_site_fract_y
_atom_site_fract_z
Rb1 0.000 0.000 0.000
Hf1 0.000 0.500 0.500
Mn1 0.500 0.500 0.500
# * ΔE to the lowest computed polymorph: 0 meV/atom
# * DFT formation energy: 3.93 eV per formula unit
# * total magnetic moment: 0.0 μB/f.u.
# * E: -36.06 eV per cell

***

# CePuMnAl | Alexandria | PBE | relaxed
data_CePuMnAl
_chemical_formula_sum 'Ce4 Pu4 Mn4 Al4'
_symmetry_space_group_name_H-M 'F -4 3 m'
_symmetry_Int_Tables_number 216
_symmetry_space_group_name_Hall 'F -4 2 3'
_cell_length_a 6.808
_cell_length_b 6.808
_cell_length_c 6.808
_cell_angle_alpha 90.00
_cell_angle_beta 90.00
_cell_angle_gamma 90.00
loop_
_atom_site_label
_atom_site_fract_x
_atom_site_fract_y
_atom_site_fract_z
Ce1 0.000 0.000 0.000
Pu1 0.250 0.250 0.750
Mn1 0.250 0.250 0.250
Al1 0.000 0.000 0.500
# * DFT formation energy: -0.43 eV per formula unit
# * total magnetic moment: 4.0 μB/f.u.
# * E: -134.42 eV per cell

***

Which value of DFT formation energy does entry 1 give?
3.93 eV per formula unit